Entry 1:
Here is a relaxed structure of Hf12InPb3 from the Alexandria database. Energies are from PBE.

## Properties
* energy of formation from the pure elements: -26 meV per atom
* DFT total energy: -8.358 eV per atom

Cell and atoms, written as extended XYZ:
```
16
Lattice="5.6225 0.0000 0.0000 0.0000 5.6238 0.0000 0.0000 0.0000 11.2646" Properties=species:S:1:pos:R:3 pbc="T T T"
Hf 0.0000 0.0000 1.3909
Hf 0.0000 0.0000 4.2154
Hf 0.0000 0.0000 7.0492
Hf 0.0000 0.0000 9.8737
Hf 1.4028 2.8119 5.6323
Hf 1.4155 2.8119 0.0000
Hf 2.8113 1.4008 2.7947
Hf 2.8113 1.4008 8.4699
Hf 2.8113 4.2231 2.7947
Hf 2.8113 4.2231 8.4699
Hf 4.2070 2.8119 0.0000
Hf 4.2197 2.8119 5.6323
In 2.8113 0.0000 0.0000
Pb 0.0000 2.8119 2.8227
Pb 0.0000 2.8119 8.4419
Pb 2.8113 0.0000 5.6323
```

Entry 2:
Here is a relaxed structure of Hf9InPb2 from the Alexandria database. Energies are from PBE.

## Properties
* energy of formation from the pure elements: -50 meV per atom
* DFT total energy: -8.361 eV per atom

Cell and atoms, written as extended XYZ:
```
12
Lattice="4.4461 0.0000 0.0000 0.0000 4.4461 0.0000 0.0000 0.0000 13.4391" Properties=species:S:1:pos:R:3 pbc="T T T"
Hf 0.0000 0.0000 0.0000
Hf 0.0000 0.0000 4.4448
Hf 0.0000 0.0000 8.9943
Hf 0.0000 2.2230 2.1942
Hf 0.0000 2.2230 6.7195
Hf 0.0000 2.2230 11.2448
Hf 2.2230 0.0000 2.1942
Hf 2.2230 0.0000 6.7195
Hf 2.2230 0.0000 11.2448
In 2.2230 2.2230 0.0000
Pb 2.2230 2.2230 4.4840
Pb 2.2230 2.2230 8.9551
```

Entry 3:
Here is a relaxed structure of HfIn2Pb2 from the Alexandria database. Energies are from PBE.

## Properties
* energy of formation from the pure elements: 329 meV per atom
* DFT total energy: -4.240 eV per atom

Cell and atoms, written as extended XYZ:
```
10
Lattice="7.9695 0.0000 0.0000 0.0000 7.9695 0.0000 0.0000 0.0000 4.3207" Properties=species:S:1:pos:R:3 pbc="T T T"
Hf 0.0000 0.0000 0.0000
Hf 3.9848 3.9848 0.0000
In 1.2537 2.7310 2.1604
In 2.7310 6.7158 2.1604
In 5.2385 1.2537 2.1604
In 6.7158 5.2385 2.1604
Pb 1.1924 5.1772 0.0000
Pb 2.7924 1.1924 0.0000
Pb 5.1772 6.7772 0.0000
Pb 6.7772 2.7924 0.0000
```

Entry 4:
Here is a relaxed structure of HfInPt2Pb from the Alexandria database. Energies are from PBE.

## Properties
* energy of formation from the pure elements: 807 meV per atom
* energy above the lowest structure with this stoichiometry: 0 meV per atom
* DFT total energy: -4.890 eV per atom

Cell and atoms, written as extended XYZ:
```
5
Lattice="5.0454 0.0000 0.0000 0.0000 5.0454 0.0000 0.0000 0.0000 5.3021" Properties=species:S:1:pos:R:3 pbc="T T T"
Hf 0.0000 0.0000 0.0000
In 0.0000 0.0000 2.6510
Pt 0.0000 2.5227 2.6510
Pt 2.5227 0.0000 2.6510
Pb 2.5227 2.5227 0.0000
```

Entry 5:
Here is a relaxed structure of Hf2InPtPb from the Alexandria database. Energies are from PBE.

## Properties
* energy of formation from the pure elements: 886 meV per atom
* DFT total energy: -5.593 eV per atom

Cell and atoms, written as extended XYZ:
```
5
Lattice="5.2675 0.0000 0.0000 0.0000 5.2675 0.0000 0.0000 0.0000 4.9039" Properties=species:S:1:pos:R:3 pbc="T T T"
Hf 0.0000 2.6337 0.0000
Hf 2.6337 0.0000 0.0000
In 0.0000 0.0000 0.0000
Pt 0.0000 0.0000 2.4519
Pb 2.6337 2.6337 2.4519
```

Entry 6:
Here is a relaxed structure of HfInSb2Pb from the Alexandria database. Energies are from PBE.

## Properties
* raw formation energy: 1.02 eV per formula unit
* DFT total energy: -4.725 eV per atom

Cell and atoms, written as extended XYZ:
```
5
Lattice="5.5252 0.0000 0.0000 0.0000 5.5252 0.0000 0.0000 0.0000 5.7086" Properties=species:S:1:pos:R:3 pbc="T T T"
Hf 0.0000 0.0000 0.0000
In 2.7626 2.7626 2.8543
Sb 0.0000 2.7626 0.0000
Sb 2.7626 0.0000 0.0000
Pb 0.0000 0.0000 2.8543
```

Entry 7:
Here is a relaxed structure of HfZrInPb2 from the Alexandria database. Energies are from PBE.

## Properties
* energy of formation from the pure elements: 843 meV per atom
* DFT total energy: -4.888 eV per atom

Cell and atoms, written as extended XYZ:
```
5
Lattice="5.5015 0.0000 0.0000 0.0000 5.5015 0.0000 0.0000 0.0000 5.4434" Properties=species:S:1:pos:R:3 pbc="T T T"
Hf 0.0000 0.0000 0.0000
Zr 2.7508 2.7508 2.7217
In 0.0000 0.0000 2.7217
Pb 0.0000 2.7508 0.0000
Pb 2.7508 0.0000 0.0000
```

Entry 8:
Here is a relaxed structure of HfIn2Pd4 from the Alexandria database. Energies are from PBE.

## Properties
* energy of formation from the pure elements: -564 meV per atom
* energy above the lowest structure with this stoichiometry: 0 meV per atom
* DFT total energy: -5.736 eV per atom

Cell and atoms, written as extended XYZ:
```
14
Lattice="5.7384 0.0000 0.0000 -1.5314 6.8885 0.0000 -1.7076 -3.2001 6.3266" Properties=species:S:1:pos:R:3 pbc="T T T"
Hf 0.0000 0.0000 0.0000
Hf -0.0959 1.1863 5.3065
In 0.0427 4.4812 1.8652
In 1.5678 -1.5128 4.9022
In 3.1762 0.8610 2.9596
In 2.9268 4.6692 1.9512
Pd -1.3504 -1.1766 4.5535
Pd -1.4950 3.1699 4.1043
Pd 0.4582 0.1874 2.7259
Pd 1.5785 2.2844 0.8653
Pd 1.2963 6.6067 0.5325
Pd 1.3737 2.9664 3.8327
Pd 2.6996 1.0618 5.6134
Pd 4.5350 2.1571 1.0545
```

Number 1: total magnetic moment 0.00 μB/cell. Number 2: total magnetic moment 0.00 μB/cell. Number 3: total magnetic moment 0.00 μB/cell. Number 4: total magnetic moment 0.00 μB/cell. Number 5: total magnetic moment 0.00 μB/cell. Number 6: total magnetic moment 0.00 μB/cell. Number 7: total magnetic moment 1.50 μB/cell. Number 8: total magnetic moment 0.00 μB/cell.